DFT (PBE with a Hubbard U) results for a geometry-optimized Tl3CoO structure.

The structure in POSCAR format:
```
Tl3CoO
1.0
5.037 0.000 0.000
0.000 5.037 0.000
0.000 0.000 5.037
Tl Co O
3 1 1
direct
0.000 0.000 0.500
0.000 0.500 0.000
0.500 0.000 0.000
0.500 0.500 0.500
0.000 0.000 0.000
```

Results
volume	25.56	Å³ per atom
crystal system	cubic
mass density	8.94	g/cm3
distance to the lowest polymorph of the same formula	0	meV/atom